A plane-wave DFT calculation with PBE was carried out for a relaxed structure of Li2UIrO6.

Crystal system: tetragonal
Formation energy (no corrections) in kJ per mole of atoms: -186.4
Calculated volume in Å³/f.u.: 137.2

The structure in CIF format:
```
data_Li2UIrO6
_cell_length_a 5.825
_cell_length_b 5.825
_cell_length_c 4.043
_cell_angle_alpha 90.00
_cell_angle_beta 90.00
_cell_angle_gamma 90.00
_symmetry_space_group_name_H-M 'P 1'
_symmetry_Int_Tables_number 1
loop_
_symmetry_equiv_pos_as_xyz
'x,y,z'
loop_
_atom_site_label
_atom_site_type_symbol
_atom_site_fract_x
_atom_site_fract_y
_atom_site_fract_z
_atom_site_occupancy
Li1 Li 0.000 0.500 0.000 1
Li2 Li 0.500 0.000 0.000 1
U1 U 0.000 0.000 0.867 1
Ir1 Ir 0.500 0.500 0.890 1
O1 O 0.000 0.000 0.373 1
O2 O 0.253 0.253 0.897 1
O3 O 0.253 0.747 0.897 1
O4 O 0.500 0.500 0.391 1
O5 O 0.747 0.253 0.897 1
O6 O 0.747 0.747 0.897 1
```